1.
Computed, not measured: an optimized crystal structure of ZnBrN2O at the PBE level of DFT.

Calculated values
- Raw formation energy: 9.6 eV/f.u.
- Density of states at the Fermi level: 0.788 states/eV per atom

```
5
Lattice="-0.381 -0.556 -3.828 1.631 -3.510 0.347 -3.577 -1.604 0.589" Properties=species:S:1:pos:R:3 pbc="T T T"
Zn -1.164 -2.835 -1.446
O -1.789 -0.802 0.294
Br 0.000 0.000 0.000
N 0.816 -1.755 0.174
N -0.190 -0.278 -1.914
```


2.
Computed, not measured: an optimized crystal structure of ZnBrN2O at the PBE level of DFT.

Calculated values
- Raw formation energy: 8.6 eV/f.u.
- Density of states at the Fermi level: 0.527 states/eV per atom

```
5
Lattice="-1.143 -3.606 -1.727 2.409 0.813 -3.291 2.992 -1.786 1.749" Properties=species:S:1:pos:R:3 pbc="T T T"
Zn 0.000 0.000 0.000
O 1.496 -0.893 0.875
Br 2.129 -2.290 -1.634
N 1.204 0.406 -1.645
N -0.572 -1.803 -0.863
```


3.
Computed, not measured: an optimized crystal structure of ZnBrNO2 at the PBE level of DFT.

Calculated values
- Raw formation energy: 5.5 eV/f.u.
- Density of states at the Fermi level: 0.845 states/eV per atom

```
5
Lattice="-3.296 0.793 1.731 -1.861 -2.073 -2.594 0.445 -3.425 2.418" Properties=species:S:1:pos:R:3 pbc="T T T"
Zn 0.000 0.000 0.000
O -0.930 -1.036 -1.297
O -1.648 0.397 0.865
Br -2.356 -2.352 0.777
N 0.223 -1.712 1.209
```


4.
Computed, not measured: an optimized crystal structure of ZnBrNO2 at the PBE level of DFT.

Calculated values
- Raw formation energy: 5.9 eV/f.u.
- Density of states at the Fermi level: 0.332 states/eV per atom

```
5
Lattice="-0.506 -3.603 1.766 3.845 -0.944 -0.825 1.068 1.469 3.302" Properties=species:S:1:pos:R:3 pbc="T T T"
Zn 2.204 -1.539 2.122
O 1.923 -0.472 -0.412
O -0.253 -1.802 0.883
Br 0.000 0.000 0.000
N 0.534 0.734 1.651
```


5.
Computed, not measured: an optimized crystal structure of ZrBrN2O at the PBE level of DFT.

Calculated values
- Raw formation energy: 5.0 eV/f.u.
- Density of states at the Fermi level: 0.523 states/eV per atom

```
5
Lattice="-3.233 2.314 0.779 -0.827 -2.254 3.263 2.156 2.295 2.132" Properties=species:S:1:pos:R:3 pbc="T T T"
O 1.078 1.147 1.066
Br 0.000 0.000 0.000
Zr -0.952 1.177 3.087
N -0.414 -1.127 1.632
N -1.616 1.157 0.390
```


6.
Computed, not measured: an optimized crystal structure of ZrBrN2O at the PBE level of DFT.

Calculated values
- Raw formation energy: 1.5 eV/f.u.
- Density of states at the Fermi level: 0.904 states/eV per atom

```
5
Lattice="4.575 0.000 0.000 0.000 4.575 0.000 0.000 0.000 4.031" Properties=species:S:1:pos:R:3 pbc="T T T"
O 0.000 0.000 2.016
Br 2.288 2.288 2.016
Zr 0.000 0.000 0.000
N 0.000 2.288 0.000
N 2.288 0.000 0.000
```


7.
Computed, not measured: an optimized crystal structure of OsBr2N2 at the PBE level of DFT.

Calculated values
- ΔE to the lowest computed polymorph: 20.4 kJ/mol of atoms
- Raw formation energy: 5.8 eV/f.u.
- Density of states at the Fermi level: 0.016 states/eV per atom

```
5
Lattice="5.291 0.000 0.000 0.000 5.291 0.000 2.646 2.646 3.497" Properties=species:S:1:pos:R:3 pbc="T T T"
Os 0.000 0.000 0.000
Br 5.291 2.646 1.748
Br 2.646 5.291 1.748
N 2.646 2.646 0.559
N 5.291 5.291 2.938
```


8.
Computed, not measured: an optimized crystal structure of OsBr2N2 at the PBE level of DFT.

Calculated values
- ΔE to the lowest computed polymorph: 0.0 kJ/mol of atoms
- Raw formation energy: 4.7 eV/f.u.
- Density of states at the Fermi level: 0.803 states/eV per atom

```
10
Lattice="-5.117 -0.712 1.540 -0.727 -3.502 -4.033 2.405 -6.331 5.064" Properties=species:S:1:pos:R:3 pbc="T T T"
Os 0.000 0.000 0.000
Os -2.922 -2.107 -1.246
Br -0.125 -5.612 0.104
Br -2.807 -6.563 0.189
Br -3.313 -4.933 2.467
Br -0.631 -3.982 2.382
N -1.825 -2.805 -2.640
N -4.383 -3.160 -1.869
N -4.019 -1.409 0.147
N -1.461 -1.054 -0.624
```


9.
Computed, not measured: an optimized crystal structure of Os3BrN at the PBE level of DFT.

Calculated values
- ΔE to the lowest computed polymorph: 0.0 kJ/mol of atoms
- Raw formation energy: 7.8 eV/f.u.
- Density of states at the Fermi level: 0.628 states/eV per atom

```
5
Lattice="-3.922 1.302 0.314 0.295 -0.106 4.132 1.306 3.933 0.007" Properties=species:S:1:pos:R:3 pbc="T T T"
Os 0.148 -0.053 2.066
Os 0.653 1.966 0.004
Os -1.961 0.651 0.157
Br -1.160 2.565 2.227
N 0.000 0.000 0.000
```


10.
Computed, not measured: an optimized crystal structure of OsBrN2 at the PBE level of DFT.

Calculated values
- ΔE to the lowest computed polymorph: 0.0 kJ/mol of atoms
- Raw formation energy: 2.5 eV/f.u.
- Density of states at the Fermi level: 0.754 states/eV per atom

```
8
Lattice="5.940 0.000 0.000 0.000 5.940 0.000 2.970 2.970 4.200" Properties=species:S:1:pos:R:3 pbc="T T T"
Os 0.000 0.000 0.000
Os 5.940 2.970 2.100
Br 2.970 2.970 0.000
Br 2.970 5.940 2.100
N 5.943 1.485 1.050
N 5.937 4.455 1.050
N 4.455 2.967 3.150
N 7.425 2.973 3.150
```


11.
Computed, not measured: an optimized crystal structure of OsBrN2 at the PBE level of DFT.

Calculated values
- ΔE to the lowest computed polymorph: 169.1 kJ/mol of atoms
- Raw formation energy: 9.5 eV/f.u.
- Density of states at the Fermi level: 0.433 states/eV per atom

```
4
Lattice="0.000 2.802 2.802 2.802 0.000 2.802 2.802 2.802 0.000" Properties=species:S:1:pos:R:3 pbc="T T T"
Os 2.802 2.802 2.802
Br 0.000 0.000 0.000
N 1.401 1.401 1.401
N 4.202 4.202 4.202
```


12.
Computed, not measured: an optimized crystal structure of Os2BrN at the PBE level of DFT.

Calculated values
- ΔE to the lowest computed polymorph: 96.1 kJ/mol of atoms
- Raw formation energy: 8.1 eV/f.u.
- Density of states at the Fermi level: 0.535 states/eV per atom

```
4
Lattice="0.842 -2.267 3.446 -1.205 1.396 3.785 -3.120 -1.935 2.062" Properties=species:S:1:pos:R:3 pbc="T T T"
Os -0.871 -0.702 2.323
Os -2.612 -2.105 6.969
Br -1.741 -1.403 4.646
N 0.000 0.000 0.000
```


13.
Computed, not measured: an optimized crystal structure of Os2BrN2 at the PBE level of DFT.

Calculated values
- ΔE to the lowest computed polymorph: 0.0 kJ/mol of atoms
- Raw formation energy: 5.0 eV/f.u.
- Density of states at the Fermi level: 0.388 states/eV per atom

```
5
Lattice="-1.153 0.719 -3.161 0.814 -3.183 -1.021 -5.721 -3.160 -0.505" Properties=species:S:1:pos:R:3 pbc="T T T"
Os -1.979 -1.860 -1.574
Os -4.081 -3.764 -3.113
Br 0.000 0.000 0.000
N -3.522 -1.837 -2.878
N -2.538 -3.788 -1.808
```


14.
Computed, not measured: an optimized crystal structure of OsBrN3 at the PBE level of DFT.

Calculated values
- Raw formation energy: 16.2 eV/f.u.
- Density of states at the Fermi level: 0.836 states/eV per atom

```
5
Lattice="-0.609 0.522 -3.712 -3.414 -1.632 0.331 -1.549 3.390 0.730" Properties=species:S:1:pos:R:3 pbc="T T T"
Os -2.786 1.140 -1.325
Br 0.000 0.000 0.000
N -1.707 -0.816 0.165
N -0.775 1.695 0.365
N -0.305 0.261 -1.856
```


15.
Computed, not measured: an optimized crystal structure of Os2BrN2 at the PBE level of DFT.

Calculated values
- ΔE to the lowest computed polymorph: 50.8 kJ/mol of atoms
- Raw formation energy: 7.6 eV/f.u.
- Density of states at the Fermi level: 0.696 states/eV per atom

```
10
Lattice="-5.467 3.176 -3.497 -3.442 -6.341 -0.378 -1.203 0.513 2.347" Properties=species:S:1:pos:R:3 pbc="T T T"
Os -5.109 -4.375 -1.663
Os -6.946 -1.134 -3.313
Os -3.800 1.209 -2.212
Os -1.963 -2.032 -0.562
Br 0.000 0.000 0.000
Br -4.454 -1.583 -1.937
N -3.350 -3.279 0.537
N -7.010 -3.399 -1.313
N -6.762 0.627 -2.066
N -3.101 0.746 -0.215
```


16.
Computed, not measured: an optimized crystal structure of OsBr5N2 at the PBE level of DFT.

Calculated values
- Raw formation energy: 10.3 eV/f.u.

```
8
Lattice="7.547 0.030 3.879 3.754 6.171 1.929 0.958 0.014 7.414" Properties=species:S:1:pos:R:3 pbc="T T T"
Os 3.994 6.172 2.052
Br 6.307 0.029 5.936
Br 4.574 3.789 9.272
Br 7.397 2.426 3.802
Br 1.910 0.014 5.209
Br 6.087 6.180 3.128
N 7.859 3.114 7.501
N 4.087 3.099 5.559
```


17.
Computed, not measured: an optimized crystal structure of Os3BrN at the PBE level of DFT.

Calculated values
- ΔE to the lowest computed polymorph: 210.1 kJ/mol of atoms
- Raw formation energy: 18.7 eV/f.u.
- Density of states at the Fermi level: 2.146 states/eV per atom

```
5
Lattice="4.539 0.000 0.000 0.000 4.539 0.000 0.000 0.000 4.539" Properties=species:S:1:pos:R:3 pbc="T T T"
Os 0.000 2.270 0.000
Os 0.000 0.000 2.270
Os 2.270 0.000 0.000
Br 0.000 0.000 0.000
N 2.270 2.270 2.270
```


18.
Computed, not measured: an optimized crystal structure of OsBrN2 at the PBE level of DFT.

Calculated values
- ΔE to the lowest computed polymorph: 30.7 kJ/mol of atoms
- Raw formation energy: 3.8 eV/f.u.
- Density of states at the Fermi level: 0.643 states/eV per atom

```
4
Lattice="-5.786 -0.225 3.200 -3.714 0.398 5.460 -4.803 2.710 3.655" Properties=species:S:1:pos:R:3 pbc="T T T"
Os -7.152 1.442 6.158
Br 0.000 0.000 0.000
N -12.689 2.558 10.925
N -1.614 0.325 1.390
```


19.
Computed, not measured: an optimized crystal structure of OsBrN3 at the PBE level of DFT.

Calculated values
- Raw formation energy: 7.0 eV/f.u.
- Density of states at the Fermi level: 0.739 states/eV per atom

```
5
Lattice="-0.095 -3.746 -1.143 2.817 0.729 -2.623 2.721 -0.886 2.675" Properties=species:S:1:pos:R:3 pbc="T T T"
Os 0.000 0.000 0.000
Br 2.721 -1.951 -0.546
N 1.408 0.365 -1.312
N 1.361 -0.443 1.338
N -0.048 -1.873 -0.572
```


20.
Computed, not measured: an optimized crystal structure of Os2BrN at the PBE level of DFT.

Calculated values
- ΔE to the lowest computed polymorph: 0.0 kJ/mol of atoms
- Raw formation energy: 4.1 eV/f.u.
- Density of states at the Fermi level: 0.278 states/eV per atom

```
8
Lattice="5.062 0.000 0.000 0.000 5.062 0.000 2.531 2.531 5.196" Properties=species:S:1:pos:R:3 pbc="T T T"
Os 3.254 1.266 1.299
Os 1.808 3.797 1.299
Os 3.797 4.340 3.897
Os 6.328 5.785 3.897
Br 0.000 0.000 0.000
Br 5.062 2.531 2.598
N 2.531 2.531 0.000
N 2.531 5.062 2.598
```


21.
Computed, not measured: an optimized crystal structure of Pm8Os3Br3N at the PBE level of DFT.

Calculated values
- Raw formation energy: -9.7 eV/f.u.
- Density of states at the Fermi level: 0.525 states/eV per atom

```
15
Lattice="8.080 0.000 0.000 -4.040 6.996 -0.033 0.000 -4.637 7.791" Properties=species:S:1:pos:R:3 pbc="T T T"
Pm 0.000 2.337 2.295
Pm 4.040 0.022 5.464
Pm 4.040 2.488 2.477
Pm 0.000 -0.129 5.281
Pm 6.186 -1.232 2.492
Pm -2.146 3.591 5.266
Pm 1.894 -1.232 2.492
Pm 2.146 3.591 5.266
Os 4.040 -2.319 3.895
Os 2.020 1.179 3.879
Os -2.020 1.179 3.879
Br 0.000 0.000 0.000
Br -2.020 3.498 -0.016
Br 2.020 3.498 -0.016
N 0.000 -2.319 3.895
```


22.
Computed, not measured: an optimized crystal structure of Pr8Os3Br3N at the PBE level of DFT.

Calculated values
- Raw formation energy: -9.3 eV/f.u.
- Density of states at the Fermi level: 0.538 states/eV per atom

```
15
Lattice="8.183 0.002 -0.001 -4.090 7.085 -0.032 -0.002 -4.695 7.912" Properties=species:S:1:pos:R:3 pbc="T T T"
Pr 0.000 2.368 2.322
Pr 4.091 0.024 5.558
Pr 4.092 2.517 2.504
Pr -0.001 -0.125 5.376
Pr 6.260 -1.243 2.519
Pr -2.169 3.635 5.361
Pr 1.922 -1.244 2.519
Pr 2.169 3.636 5.360
Os 4.090 -2.347 3.956
Os 2.046 1.196 3.940
Os -2.046 1.195 3.940
Br 0.000 0.000 0.000
Br -2.045 3.543 -0.016
Br 2.046 3.543 -0.016
N -0.001 -2.348 3.956
```


23.
Computed, not measured: an optimized crystal structure of Pr6Os2Br3N at the PBE level of DFT.

Calculated values
- Raw formation energy: -10.5 eV/f.u.
- Density of states at the Fermi level: 0.788 states/eV per atom

```
12
Lattice="7.024 0.005 -0.001 -3.506 6.087 -0.001 -1.174 -2.033 7.770" Properties=species:S:1:pos:R:3 pbc="T T T"
Pr 3.440 2.167 6.305
Pr 2.414 4.179 1.465
Pr -1.096 1.892 1.463
Pr 0.158 4.063 6.305
Pr -0.069 -0.120 6.303
Pr 2.187 -0.004 1.463
Os -0.001 4.062 -0.001
Os 3.519 2.030 -0.001
Br -2.331 4.053 3.884
Br 4.676 0.006 3.884
Br 1.172 2.030 3.884
N 0.000 0.000 0.000
```


24.
Computed, not measured: an optimized crystal structure of OsS2BrN at the PBE level of DFT.

Calculated values
- ΔE to the lowest computed polymorph: 166.4 kJ/mol of atoms
- Raw formation energy: 11.8 eV/f.u.
- Density of states at the Fermi level: 0.910 states/eV per atom

```
5
Lattice="4.859 0.000 0.000 0.000 4.859 0.000 0.000 0.000 3.518" Properties=species:S:1:pos:R:3 pbc="T T T"
S 0.000 2.429 0.000
S 2.429 0.000 0.000
Os 2.429 2.429 1.759
Br 0.000 0.000 0.000
N 0.000 0.000 1.759
```


25.
Computed, not measured: an optimized crystal structure of OsS2BrN at the PBE level of DFT.

Calculated values
- ΔE to the lowest computed polymorph: 0.0 kJ/mol of atoms
- Raw formation energy: 3.2 eV/f.u.
- Density of states at the Fermi level: 0.680 states/eV per atom

```
5
Lattice="4.841 0.000 0.000 0.000 4.841 0.000 0.000 0.000 3.728" Properties=species:S:1:pos:R:3 pbc="T T T"
S 0.000 2.420 0.000
S 2.420 0.000 0.000
Os 0.000 0.000 0.000
Br 2.420 2.420 1.864
N 0.000 0.000 1.864
```


26.
Computed, not measured: an optimized crystal structure of Sm6Os2Br3N at the PBE level of DFT.

Calculated values
- Raw formation energy: -10.7 eV/f.u.
- Density of states at the Fermi level: 0.741 states/eV per atom

```
12
Lattice="-4.433 4.303 3.088 -1.234 -2.202 -6.429 -1.961 -6.658 3.891" Properties=species:S:1:pos:R:3 pbc="T T T"
Sm -6.537 -2.762 2.019
Sm -4.597 0.332 -1.772
Sm -1.092 -1.795 -1.469
Sm -5.546 -4.776 -0.928
Sm -3.032 -4.889 2.322
Sm -2.083 0.220 1.478
Os -2.296 -0.043 -3.270
Os -3.372 2.144 -0.071
Br -2.742 -4.459 -2.915
Br -4.887 -0.098 3.465
Br -3.815 -2.278 0.275
N 0.000 0.000 0.000
```